First-principles (PBE) data for a relaxed structure of EuYAgAu, as listed in the Alexandria database.

Unit cell a=5.212 b=5.212 c=5.212 alpha=60.00 beta=60.00 gamma=60.00
Last column: magnetic moment on the atom in μB.
Fractional coordinates of all 4 atoms:
Ag (0.250, 0.250, 0.250)  0.01
Au (0.750, 0.750, 0.750)  0.00
Y (0.000, 0.000, 0.000)  0.02
Eu (0.500, 0.500, 0.500)  6.79

SG ... F-43m (216)
E_form ... -0.529 eV/atom
Density ... 9.051 Mg/m³